(1)
The following is a PBE calculation of an optimized crystal structure of NpPCl, from Alexandria via LeMat-Bulk.

- Total moment: 3.28 μB per formula unit
- Crystal system: orthorhombic
- Polymorph energy (0 for the lowest one): 0.0 meV/atom
- Raw total energy: -7.42 eV per atom

Geometry as CIF:
```
data_NpPCl
_chemical_formula_sum 'Np4 P4 Cl4'
_cell_length_a 5.1411
_cell_length_b 8.9799
_cell_length_c 5.0274
_cell_angle_alpha 90.00
_cell_angle_beta 90.00
_cell_angle_gamma 90.00
_symmetry_space_group_name_H-M 'C m c m'
_symmetry_Int_Tables_number 63
_symmetry_space_group_name_Hall '-C 2c 2'
loop_
_atom_site_label
_atom_site_fract_x
_atom_site_fract_y
_atom_site_fract_z
Np1 0.0000 0.2428 0.2500
P1 0.0000 0.0841 0.7500
Cl1 0.0000 0.4040 0.7500
```



(2)
The following is a PBE calculation of an optimized crystal structure of NpPS4Cl, from Alexandria via LeMat-Bulk.

- Total moment: 3.00 μB per formula unit
- Crystal system: monoclinic
- Raw total energy: -5.92 eV per atom

Geometry as CIF:
```
data_NpPS4Cl
_chemical_formula_sum 'Np4 P4 S16 Cl4'
_cell_length_a 10.7404
_cell_length_b 8.5917
_cell_length_c 7.8069
_cell_angle_alpha 90.00
_cell_angle_beta 104.61
_cell_angle_gamma 90.00
_symmetry_space_group_name_H-M 'C 1 2/m 1'
_symmetry_Int_Tables_number 12
loop_
_symmetry_equiv_pos_as_xyz
'x,y,z'
'-x,-y,-z'
'-x,y,-z'
'x,-y,z'
'x+1/2,y+1/2,z'
'-x+1/2,-y+1/2,-z'
'-x+1/2,y+1/2,-z'
'x+1/2,-y+1/2,z'
loop_
_atom_site_label
_atom_site_fract_x
_atom_site_fract_y
_atom_site_fract_z
Np1 0.2137 0.0000 0.1263
P1 0.1439 0.5000 0.2761
S1 0.0379 0.5000 0.6913
S2 0.1739 0.3227 0.1037
S3 0.2180 0.0000 0.4942
Cl1 0.0255 0.0000 0.8088
```



(3)
The following is a PBE calculation of an optimized crystal structure of NpPaCl6, from Alexandria via LeMat-Bulk.

- Total moment: 6.00 μB per formula unit
- Crystal system: monoclinic
- Polymorph energy (0 for the lowest one): 0.0 meV/atom
- Raw total energy: -5.89 eV per atom

Geometry as CIF:
```
data_NpPaCl6
_chemical_formula_sum 'Np2 Pa2 Cl12'
_cell_length_a 6.9357
_cell_length_b 12.2979
_cell_length_c 6.8218
_cell_angle_alpha 90.00
_cell_angle_beta 106.00
_cell_angle_gamma 90.00
_symmetry_space_group_name_H-M 'C 1 2/m 1'
_symmetry_Int_Tables_number 12
loop_
_symmetry_equiv_pos_as_xyz
'x,y,z'
'-x,-y,-z'
'-x,y,-z'
'x,-y,z'
'x+1/2,y+1/2,z'
'-x+1/2,-y+1/2,-z'
'-x+1/2,y+1/2,-z'
'x+1/2,-y+1/2,z'
loop_
_atom_site_label
_atom_site_fract_x
_atom_site_fract_y
_atom_site_fract_z
Np1 0.0000 0.0000 0.0000
Pa1 0.0000 0.5000 0.5000
Cl1 0.2410 0.5000 0.2481
Cl2 0.2456 0.3521 0.7445
```



(4)
The following is a PBE calculation of an optimized crystal structure of NpPaCl6, from Alexandria via LeMat-Bulk.

- Total moment: 3.02 μB per formula unit
- Crystal system: trigonal
- Polymorph energy (0 for the lowest one): 27.2 meV/atom
- Raw total energy: -5.87 eV per atom

Geometry as CIF:
```
data_NpPaCl6
_chemical_formula_sum 'Np3 Pa3 Cl18'
_cell_length_a 6.8826
_cell_length_b 6.8826
_cell_length_c 19.5954
_cell_angle_alpha 90.00
_cell_angle_beta 90.00
_cell_angle_gamma 120.00
_symmetry_space_group_name_H-M 'R -3'
_symmetry_Int_Tables_number 148
_symmetry_space_group_name_Hall '-R 3'
loop_
_atom_site_label
_atom_site_fract_x
_atom_site_fract_y
_atom_site_fract_z
Np1 0.0000 0.0000 0.0000
Pa1 0.0000 0.0000 0.5000
Cl1 0.0039 0.6521 0.2479
```



(5)
The following is a PBE calculation of an optimized crystal structure of NpPb2Cl8, from Alexandria via LeMat-Bulk.

- Total moment: 3.00 μB per formula unit
- Crystal system: monoclinic
- Polymorph energy (0 for the lowest one): 0.0 meV/atom
- Raw total energy: -4.55 eV per atom

Geometry as CIF:
```
data_NpPb2Cl8
_chemical_formula_sum 'Np2 Pb4 Cl16'
_cell_length_a 12.1768
_cell_length_b 9.2338
_cell_length_c 6.5819
_cell_angle_alpha 90.00
_cell_angle_beta 108.96
_cell_angle_gamma 90.00
_symmetry_space_group_name_H-M 'C 1 2/m 1'
_symmetry_Int_Tables_number 12
loop_
_symmetry_equiv_pos_as_xyz
'x,y,z'
'-x,-y,-z'
'-x,y,-z'
'x,-y,z'
'x+1/2,y+1/2,z'
'-x+1/2,-y+1/2,-z'
'-x+1/2,y+1/2,-z'
'x+1/2,-y+1/2,z'
loop_
_atom_site_label
_atom_site_fract_x
_atom_site_fract_y
_atom_site_fract_z
Np1 0.0000 0.0000 0.0000
Pb1 0.1584 0.5000 0.4337
Cl1 0.0796 0.5000 0.7793
Cl2 0.1267 0.0000 0.7599
Cl3 0.1426 0.1935 0.2525
```



(6)
The following is a PBE calculation of an optimized crystal structure of NpPb2Cl8, from Alexandria via LeMat-Bulk.

- Total moment: 3.00 μB per formula unit
- Crystal system: monoclinic
- Polymorph energy (0 for the lowest one): 43.7 meV/atom
- Raw total energy: -4.50 eV per atom

Geometry as CIF:
```
data_NpPb2Cl8
_chemical_formula_sum 'Np2 Pb4 Cl16'
_cell_length_a 20.1169
_cell_length_b 4.5577
_cell_length_c 6.8920
_cell_angle_alpha 90.00
_cell_angle_beta 100.02
_cell_angle_gamma 90.00
_symmetry_space_group_name_H-M 'C 1 2/m 1'
_symmetry_Int_Tables_number 12
loop_
_symmetry_equiv_pos_as_xyz
'x,y,z'
'-x,-y,-z'
'-x,y,-z'
'x,-y,z'
'x+1/2,y+1/2,z'
'-x+1/2,-y+1/2,-z'
'-x+1/2,y+1/2,-z'
'x+1/2,-y+1/2,z'
loop_
_atom_site_label
_atom_site_fract_x
_atom_site_fract_y
_atom_site_fract_z
Np1 0.0000 0.0000 0.0000
Pb1 0.1646 0.5000 0.5998
Cl1 0.0094 0.5000 0.7791
Cl2 0.0940 0.0000 0.3820
Cl3 0.1229 0.0000 0.9241
Cl4 0.2378 0.5000 0.2941
```